Below is crystalline Ce2PrY3N6 at its relaxed geometry, with properties calculated at the PBE-GGA level.

## Properties
- E_form (uncorrected) (eV per atom) = -1.558
- SG = C2/m (12)
- final energy (eV/atom) = -8.724

Lattice parameters (Å, degrees): 6.1367 6.1367 6.1316 99.60 99.60 120.01
Last column: nearest neighbours and their distance in Å.
Sites, in units of the cell vectors:
1 Y 0.1672 0.8328 0.5000  6 N 2.43-2.53
2 Y 0.5000 0.5000 0.5000  6 N 2.43-2.53
3 Y 0.8328 0.1672 0.5000  6 N 2.43-2.53
4 N 0.0841 0.4291 0.2524  3 Y 2.43-2.53, 2 Ce 2.48, 1 Pr 2.57
5 N 0.9159 0.5709 0.7476  3 Y 2.43-2.53, 2 Ce 2.48, 1 Pr 2.57
6 N 0.7406 0.7406 0.2551  3 Y 2.43-2.52, 2 Ce 2.50, 1 Pr 2.58
7 N 0.2594 0.2594 0.7449  3 Y 2.43-2.52, 2 Ce 2.50, 1 Pr 2.58
8 N 0.5709 0.9159 0.7476  3 Y 2.43-2.53, 2 Ce 2.48, 1 Pr 2.57
9 N 0.4291 0.0841 0.2524  3 Y 2.43-2.53, 2 Ce 2.48, 1 Pr 2.57
10 Ce 0.6667 0.3333 0.0000  6 N 2.48-2.50
11 Ce 0.3333 0.6667 0.0000  6 N 2.48-2.50
12 Pr 0.0000 0.0000 0.0000  6 N 2.57-2.58